A geometry-optimized CeSm2Au6 structure. Source: Alexandria via LeMat-Bulk, functional PBE.

The density of states at the Fermi level is 1.215 states/eV/atom. The calculation puts the total energy at -82.49 eV per cell. Its total moment is 2.12 μB per cell. Its crystal system is orthorhombic.

The structure belongs to space group Immm (No. 71); the cell edges are 3.7017, 7.7555 and 14.8354 Å and the angles 90.00°, 90.00° and 90.00°. The distinct sites, in fractional coordinates, are Ce at (0.0000, 0.0000, 0.0000), Sm at (0.0000, 0.5000, 0.1413), Au at (0.0000, 0.1842, 0.5000) and Au at (0.0000, 0.3152, 0.3235).

---

A geometry-optimized SmIn12Pd6 structure. Source: Alexandria via LeMat-Bulk, functional PBE.

The density of states at the Fermi level is 0.481 states/eV/atom. The calculation puts the total energy at -224.53 eV per cell. Its total moment is 0.00 μB per cell. Its crystal system is trigonal.

The structure belongs to space group R-3m (No. 166, hexagonal axes); the cell edges are 12.5049, 12.5049 and 9.3867 Å and the angles 90.00°, 90.00° and 120.00°. The distinct sites, in fractional coordinates, are Sm at (0.0000, 0.0000, 0.0000), In at (0.0000, 0.3839, 0.5000), In at (0.0841, 0.1683, 0.3151) and Pd at (0.0504, 0.5252, 0.2430).

---

A geometry-optimized Ti8Ni5Pt structure. Source: Alexandria via LeMat-Bulk, functional PBE.

The density of states at the Fermi level is 1.361 states/eV/atom. The calculation puts the total energy at -202.35 eV per cell. Its total moment is 0.00 μB per cell. Its crystal system is tetragonal.

The structure belongs to space group I-4 (No. 82); the cell edges are 7.7397, 7.7397 and 7.0910 Å and the angles 90.00°, 90.00° and 90.00°. The distinct sites, in fractional coordinates, are Ti at (0.0280, 0.3334, 0.0540), Ti at (0.0949, 0.1838, 0.6627), Ni at (0.0000, 0.5000, 0.7500), Ni at (0.1365, 0.2109, 0.3329) and Pt at (0.0000, 0.0000, 0.0000).

---

A geometry-optimized Nb2HgB structure. Source: Alexandria via LeMat-Bulk, functional PBE.

The density of states at the Fermi level is 0.777 states/eV/atom. Its total moment is 0.00 μB per cell. The distance to the lowest polymorph of the same formula is 0.000 eV per atom. Its crystal system is monoclinic.

The structure belongs to space group C2/m (No. 12); the cell edges are 5.6287, 3.2325 and 7.5481 Å and the angles 90.00°, 104.07° and 90.00°. The distinct sites, in fractional coordinates, are Nb at (0.2221, 0.0000, 0.1694), Hg at (0.0000, 0.0000, 0.5000) and B at (0.0000, 0.5000, 0.0000).

---

A geometry-optimized BaNiTe2 structure. Source: Alexandria via LeMat-Bulk, functional PBE.

Its uncorrected formation energy is -1.54 eV per formula unit. The density of states at the Fermi level is 1.455 states/eV/atom. Its total moment is 6.01 μB per cell. Its crystal system is trigonal.

The structure belongs to space group R-3m (No. 166, hexagonal axes); the cell edges are 5.4727, 5.4727 and 23.8111 Å and the angles 90.00°, 90.00° and 120.00°. The distinct sites, in fractional coordinates, are Ba at (0.0000, 0.0000, 0.0000), Ni at (0.0000, 0.0000, 0.5000) and Te at (0.0000, 0.0000, 0.3996).

---

A geometry-optimized Tb7Pm3Ho2 structure. Source: Alexandria via LeMat-Bulk, functional PBE.

The density of states at the Fermi level is 1.268 states/eV/atom. Its total moment is 0.00 μB per cell. The distance to the lowest polymorph of the same formula is 0.069 eV per atom. Its crystal system is monoclinic.

The structure belongs to space group P2/m (No. 10); the cell edges are 5.8472, 3.5725 and 18.8252 Å and the angles 90.00°, 93.08° and 90.00°. The distinct sites, in fractional coordinates, are Tb at (0.0000, 0.0000, 0.0000), Tb at (0.1905, 0.5000, 0.1774), Tb at (0.2572, 0.5000, 0.5369), Tb at (0.3115, 0.0000, 0.8559), Pm at (0.2199, 0.0000, 0.3666), Pm at (0.5000, 0.5000, 0.0000) and Ho at (0.2906, 0.5000, 0.7064).

---

A geometry-optimized ZnTcSe2 structure. Source: Alexandria via LeMat-Bulk, functional PBE.

Its uncorrected formation energy is 0.09 eV per formula unit. The density of states at the Fermi level is 0.612 states/eV/atom. Its total moment is 0.00 μB per cell. The distance to the lowest polymorph of the same formula is 0.302 eV per atom. Its crystal system is tetragonal.

The structure belongs to space group P4/mmm (No. 123); the cell edges are 3.0288, 3.0288 and 8.7431 Å and the angles 90.00°, 90.00° and 90.00°. The distinct sites, in fractional coordinates, are Zn at (0.0000, 0.0000, 0.0000), Tc at (0.0000, 0.0000, 0.5000) and Se at (0.5000, 0.5000, 0.3214).

---

A geometry-optimized SrIn15Hg4 structure. Source: Alexandria via LeMat-Bulk, functional PBE.

The density of states at the Fermi level is 0.349 states/eV/atom. The calculation puts the total energy at -44.90 eV per cell. Its total moment is 0.00 μB per cell. Its crystal system is tetragonal.

The structure belongs to space group P4/mmm (No. 123); the cell edges are 4.7534, 4.7534 and 23.8326 Å and the angles 90.00°, 90.00° and 90.00°. The distinct sites, in fractional coordinates, are Sr at (0.0000, 0.0000, 0.0000), In at (0.0000, 0.5000, 0.1052), In at (0.0000, 0.5000, 0.2999), In at (0.0000, 0.5000, 0.5000), In at (0.5000, 0.5000, 0.0000), In at (0.5000, 0.5000, 0.2018), In at (0.5000, 0.5000, 0.4020), Hg at (0.0000, 0.0000, 0.1996) and Hg at (0.0000, 0.0000, 0.3997).

---

A geometry-optimized CeDyThPb structure. Source: Alexandria via LeMat-Bulk, functional PBE.

The density of states at the Fermi level is 2.241 states/eV/atom. The calculation puts the total energy at -86.48 eV per cell. Its total moment is 5.02 μB per cell. Its crystal system is cubic.

The structure belongs to space group F-43m (No. 216); the cell edges are 7.7834, 7.7834 and 7.7834 Å and the angles 90.00°, 90.00° and 90.00°. The distinct sites, in fractional coordinates, are Ce at (0.0000, 0.0000, 0.0000), Dy at (0.2500, 0.2500, 0.7500), Th at (0.2500, 0.2500, 0.2500) and Pb at (0.0000, 0.0000, 0.5000).

---

A geometry-optimized Te2RhAuI structure. Source: Alexandria via LeMat-Bulk, functional PBE.

Its uncorrected formation energy is 2.59 eV per formula unit. The density of states at the Fermi level is 1.447 states/eV/atom. Its total moment is 0.00 μB per cell. The distance to the lowest polymorph of the same formula is 0.000 eV per atom. Its crystal system is tetragonal.

The structure belongs to space group P4/mmm (No. 123); the cell edges are 5.1815, 5.1815 and 5.4732 Å and the angles 90.00°, 90.00° and 90.00°. The distinct sites, in fractional coordinates, are Te at (0.0000, 0.5000, 0.0000), Rh at (0.0000, 0.0000, 0.0000), Au at (0.5000, 0.5000, 0.5000) and I at (0.0000, 0.0000, 0.5000).

---

A geometry-optimized MnSnCl4 structure. Source: Alexandria via LeMat-Bulk, functional PBE.

Its uncorrected formation energy is -6.02 eV per formula unit. The density of states at the Fermi level is 0.000 states/eV/atom. Its total moment is 20.00 μB per cell. The distance to the lowest polymorph of the same formula is 0.014 eV per atom. Its crystal system is tetragonal.

The structure belongs to space group I4_1/amd (No. 141, origin choice 2); the cell edges are 9.1964, 9.1964 and 8.3882 Å and the angles 90.00°, 90.00° and 90.00°. The distinct sites, in fractional coordinates, are Mn at (0.0000, 0.2500, 0.3750), Sn at (0.0000, 0.2500, 0.8750) and Cl at (0.0000, 0.0631, 0.1849).

---

A geometry-optimized PmDyTlAu structure. Source: Alexandria via LeMat-Bulk, functional PBE.

The density of states at the Fermi level is 0.612 states/eV/atom. Its total moment is 0.00 μB per cell. The distance to the lowest polymorph of the same formula is 0.000 eV per atom. Its crystal system is tetragonal.

The structure belongs to space group P4mm (No. 99); the cell edges are 3.6622, 3.6622 and 7.8375 Å and the angles 90.00°, 90.00° and 90.00°. The distinct sites, in fractional coordinates, are Pm at (0.0000, 0.0000, 0.0000), Dy at (0.0000, 0.0000, 0.4599), Tl at (0.5000, 0.5000, 0.7255) and Au at (0.5000, 0.5000, 0.2551).